Below is an optimized crystal structure of PmPuScSn, with properties calculated at the PBE level.

**Spin magnetization**: 1.798 μB/atom
**Formation energy from the elements**: -0.1454 eV/atom

a b c (Å): 7.5803 7.5803 7.5803
angles (deg): 90.00 90.00 90.00
Last column: nearest neighbours and their distance in Å.
Space group F-43m (No. 216)
Unique sites:
Pm1 0.0000 0.0000 0.0000 x4  4 Sn 3.28, 4 Sc 3.28
Pu1 0.0000 0.0000 0.5000 x4  4 Sn 3.28, 4 Sc 3.28
Sc1 0.2500 0.2500 0.2500 x4  4 Pm 3.28, 4 Pu 3.28
Sn1 0.2500 0.2500 0.7500 x4  4 Pm 3.28, 4 Pu 3.28

=====

Below is an optimized crystal structure of Ti2Nb2In, with properties calculated at the PBE level.

**Spin magnetization**: 0.000 μB/atom
**Formation energy from the elements**: -0.0465 eV/atom
**Relative energy among the computed polymorphs**: 0.0 meV per atom

a b c (Å): 14.0977 4.4953 2.9325
angles (deg): 90.00 93.78 90.00
Last column: nearest neighbours and their distance in Å.
Space group C2/m (No. 12)
Unique sites:
Ti1 0.1066 0.0000 0.4784 x4  3 Nb 2.84-2.86, 3 Ti 2.93-3.02, 4 In 3.00-3.16
Nb1 0.2071 0.5000 0.8498 x4  4 Nb 2.67-2.93, 3 Ti 2.84-2.86, 1 In 2.98
In1 0.0000 0.5000 0.0000 x2  2 In 2.93, 2 Nb 2.98, 8 Ti 3.00-3.16

=====

Below is an optimized crystal structure of GaP3H, with properties calculated at the PBE level.

**Spin magnetization**: 0.199 μB/atom
**Relative energy among the computed polymorphs**: 719.3 meV per atom

a b c (Å): 4.7448 4.7448 4.7448
angles (deg): 90.00 90.00 90.00
Last column: nearest neighbours and their distance in Å.
Space group Pm-3m (No. 221)
Unique sites:
Ga1 0.0000 0.0000 0.0000 x1  6 P 2.37
P1 0.0000 0.0000 0.5000 x3  2 Ga 2.37
H1 0.5000 0.5000 0.5000 x1  12 P 3.36

=====

Below is an optimized crystal structure of CrSi2Tc2, with properties calculated at the PBE level.

**Spin magnetization**: 0.000 μB/atom
**E_form (uncorrected)**: -0.175 eV/atom
**Relative energy among the computed polymorphs**: 0.0 meV per atom

a b c (Å): 6.6693 6.6693 3.0043
angles (deg): 90.00 90.00 90.00
Last column: nearest neighbours and their distance in Å.
Space group P4/mbm (No. 127)
Unique sites:
Cr1 0.0000 0.0000 0.0000 x2  4 Si 2.58
Si1 0.1400 0.3600 0.0000 x4  6 Tc 2.43-2.49, 2 Cr 2.58, 1 Si 2.64
Tc1 0.1573 0.6573 0.5000 x4  6 Si 2.43-2.49

=====

Below is an optimized crystal structure of Ca4Tl5Cd2, with properties calculated at the PBE level.

**Spin magnetization**: 0.000 μB/atom
**Formation energy from the elements**: -0.2926 eV/atom

a b c (Å): 8.2797 3.7601 10.3083
angles (deg): 90.00 93.48 90.00
Last column: nearest neighbours and their distance in Å.
Space group P2/m (No. 10)
Unique sites:
Ca1 0.1898 0.0000 0.3800 x2  2 Cd 3.30, 8 Tl 3.35-3.48
Ca2 0.2699 0.0000 0.9204 x2  6 Tl 3.33-3.53, 4 Cd 3.37-3.39
Tl1 0.1593 0.5000 0.6467 x2  1 Cd 3.05, 1 Tl 3.28, 2 Ca 3.35
Tl2 0.4345 0.5000 0.1863 x2  1 Cd 3.07, 1 Tl 3.25, 2 Ca 3.33
Tl3 0.5000 0.5000 0.5000 x1  4 Tl 3.25-3.28, 4 Ca 3.36
Cd1 0.0658 0.5000 0.1298 x2  1 Cd 2.83, 2 Tl 3.05-3.07

=====

Below is an optimized crystal structure of TbPr5Sm2Er, with properties calculated at the PBE level.

**Spin magnetization**: 0.000 μB/atom
**Formation energy from the elements**: 0.2862 eV/atom

a b c (Å): 8.6912 8.6912 16.7619
angles (deg): 90.00 90.00 90.00
Last column: nearest neighbours and their distance in Å.
Space group I4/mcm (No. 140)
Unique sites:
Tb1 0.0000 0.0000 0.2500 x4  8 Pr 3.59
Pr1 0.0000 0.0000 0.0000 x4  4 Sm 3.46
Pr2 0.2152 0.2848 0.1425 x16  1 Sm 3.12, 1 Er 3.20
Sm1 0.1210 0.3790 0.5000 x8  1 Sm 2.97, 2 Pr 3.12
Er1 0.0000 0.5000 0.2500 x4  4 Pr 3.20

=====

Below is an optimized crystal structure of DyErGeTe, with properties calculated at the PBE level.

**Spin magnetization**: 0.000 μB/atom
**E_form (uncorrected)**: -1.100 eV/atom

a b c (Å): 4.2084 4.2084 21.6418
angles (deg): 90.00 90.00 120.00
Last column: nearest neighbours and their distance in Å.
Space group R3m (No. 160, hexagonal axes)
Unique sites:
Dy1 0.0000 0.0000 0.0000 x3  3 Ge 2.87, 3 Te 3.18
Er1 0.0000 0.0000 0.1903 x3  3 Ge 2.89, 3 Te 3.19
Ge1 0.0000 0.0000 0.5962 x3  3 Dy 2.87, 3 Er 2.89
Te1 0.0000 0.0000 0.4281 x3  3 Dy 3.18, 3 Er 3.19

=====

Below is an optimized crystal structure of LiPmGdSb, with properties calculated at the PBE level.

**Spin magnetization**: 1.885 μB/atom
**E_form (uncorrected)**: -0.489 eV/atom

a b c (Å): 7.4818 7.4818 7.4818
angles (deg): 90.00 90.00 90.00
Last column: nearest neighbours and their distance in Å.
Space group F-43m (No. 216)
Unique sites:
Li1 0.0000 0.0000 0.0000 x4  4 Gd 3.24, 4 Pm 3.24
Pm1 0.2500 0.2500 0.7500 x4  4 Li 3.24, 4 Sb 3.24
Gd1 0.2500 0.2500 0.2500 x4  4 Li 3.24, 4 Sb 3.24
Sb1 0.0000 0.0000 0.5000 x4  4 Gd 3.24, 4 Pm 3.24